A plane-wave DFT calculation with PBE-GGA was carried out for a geometry-optimized ZnCdO3 structure.

Summary:
E = -16.0 eV/f.u.
uncorrected formation energy = 21.0 kJ/mol of atoms

Cell: 4.0423 4.0423 4.0423 Å, 90.00 90.00 90.00°
Space group Pm-3m (No. 221)
One atom of each set of equivalent atoms:
1 Zn 0.0000 0.0000 0.0000 x1
2 Cd 0.5000 0.5000 0.5000 x1
3 O 0.0000 0.5000 0.5000 x3